DFT (SCAN) results for a crystal of Co2SbRh relaxed with PBEsol.

```
data_Co2SbRh
_cell_length_a 2.9437
_cell_length_b 2.9437
_cell_length_c 23.1051
_cell_angle_alpha 90.00
_cell_angle_beta 90.00
_cell_angle_gamma 120.00
_space_group_name_H-M_alt 'R 3 m'
_space_group_IT_number 160
_space_group_name_Hall 'R 3 -2"'
loop_
_atom_site_label
_atom_site_fract_x
_atom_site_fract_y
_atom_site_fract_z
Co1 0.0000 0.0000 0.0000
Co2 0.0000 0.0000 0.2611
Sb1 0.0000 0.0000 0.5074
Rh1 0.0000 0.0000 0.7508
```

Summary:
V = 57.8 Å³/f.u.
Formation energy without anion corrections = 393 meV per atom